An optimized crystal structure of InAs2Pt7. Source: Alexandria, functional PBE.

Cell lengths 10.984, 10.984, 10.984 Å; angles 158.95, 158.95, 29.94 degrees
Atoms (fractional coordinates):
In  0.000  0.000  0.000
As  0.328  0.328  0.000
As  0.672  0.672  0.000
Pt  0.098  0.598  0.500
Pt  0.250  0.750  0.500
Pt  0.402  0.902  0.500
Pt  0.500  0.500  0.000
Pt  0.598  0.098  0.500
Pt  0.750  0.250  0.500
Pt  0.902  0.402  0.500

Properties
- total DFT energy (no corrections) (eV per atom) = -5.7205
- crystal system = tetragonal
- M_tot (μB per atom) = 0.000
- DFT formation energy (eV per atom) = -0.29

An optimized crystal structure of Ba2LaRu. Source: Alexandria, functional PBE.

Cell lengths 7.941, 7.941, 7.941 Å; angles 90.00, 90.00, 90.00 degrees
Atoms (fractional coordinates):
Ba  0.250  0.250  0.250
Ba  0.250  0.250  0.750
Ba  0.250  0.750  0.250
Ba  0.250  0.750  0.750
Ba  0.750  0.250  0.250
Ba  0.750  0.250  0.750
Ba  0.750  0.750  0.250
Ba  0.750  0.750  0.750
La  0.000  0.000  0.000
La  0.000  0.500  0.500
La  0.500  0.000  0.500
La  0.500  0.500  0.000
Ru  0.000  0.000  0.500
Ru  0.000  0.500  0.000
Ru  0.500  0.000  0.000
Ru  0.500  0.500  0.500

Properties
- total DFT energy (no corrections) (eV per atom) = -3.8443
- crystal system = cubic
- M_tot (μB per atom) = 0.000
- DFT formation energy (eV per atom) = 0.67

An optimized crystal structure of Mg2ScSeN. Source: Alexandria, functional PBE.

Cell lengths 6.004, 6.004, 4.960 Å; angles 90.00, 90.00, 90.00 degrees
Atoms (fractional coordinates):
Mg  0.000  0.500  0.000
Mg  0.500  0.000  0.000
Sc  0.000  0.000  0.000
Se  0.000  0.000  0.500
N  0.500  0.500  0.500

Properties
- total DFT energy (no corrections) (eV per atom) = -3.1884
- crystal system = tetragonal
- M_tot (μB per atom) = 0.443
- formation energy without anion corrections (eV per atom) = 1.078

An optimized crystal structure of DyGa4Au2. Source: Alexandria, functional PBE.

Cell lengths 17.284, 4.412, 6.988 Å; angles 90.00, 90.00, 90.00 degrees
Atoms (fractional coordinates):
Dy  0.142  0.250  0.022
Dy  0.358  0.750  0.522
Dy  0.642  0.250  0.478
Dy  0.858  0.750  0.978
Ga  0.039  0.750  0.860
Ga  0.063  0.250  0.464
Ga  0.182  0.750  0.332
Ga  0.187  0.750  0.739
Ga  0.313  0.250  0.239
Ga  0.318  0.250  0.832
Ga  0.437  0.750  0.964
Ga  0.461  0.250  0.360
Ga  0.539  0.750  0.640
Ga  0.563  0.250  0.036
Ga  0.682  0.750  0.168
Ga  0.687  0.750  0.761
Ga  0.813  0.250  0.261
Ga  0.818  0.250  0.668
Ga  0.937  0.750  0.536
Ga  0.961  0.250  0.140
Au  0.032  0.750  0.242
Au  0.215  0.250  0.541
Au  0.285  0.750  0.041
Au  0.468  0.250  0.742
Au  0.532  0.750  0.258
Au  0.715  0.250  0.959
Au  0.785  0.750  0.459
Au  0.968  0.250  0.758

Properties
- total DFT energy (no corrections) (eV per atom) = -3.8006
- crystal system = orthorhombic
- M_tot (μB per atom) = 0.000
- DFT formation energy (eV per atom) = -0.48